Record 1
Crystalline Ti2MoPt2 at its relaxed geometry, computed with PBE-GGA.

Results
* space group: P4/mbm, No. 127
* distance to the lowest polymorph of the same formula: 0.0 kJ per mole of atoms
* formation energy from the elements: -517 meV per atom
* electronic total energy: -8.2576 eV per atom

Lattice parameters (Å, degrees): 7.526 7.526 2.863 90.00 90.00 90.00
Fractional positions:
1 Mo 0.000 0.000 0.000
2 Mo 0.500 0.500 0.000
3 Pt 0.369 0.869 0.000
4 Pt 0.869 0.631 0.000
5 Pt 0.631 0.131 0.000
6 Pt 0.131 0.369 0.000
7 Ti 0.168 0.668 0.500
8 Ti 0.668 0.832 0.500
9 Ti 0.832 0.332 0.500
10 Ti 0.332 0.168 0.500

***

Record 2
Crystalline TiMo2Pt2 at its relaxed geometry, computed with PBE-GGA.

Results
* space group: P4/mbm, No. 127
* formation energy from the elements: -136 meV per atom
* electronic total energy: -8.4641 eV per atom

Lattice parameters (Å, degrees): 6.596 6.596 3.831 90.00 90.00 90.00
Fractional positions:
1 Mo 0.162 0.662 0.500
2 Mo 0.662 0.838 0.500
3 Mo 0.838 0.338 0.500
4 Mo 0.338 0.162 0.500
5 Pt 0.362 0.862 0.000
6 Pt 0.862 0.638 0.000
7 Pt 0.638 0.138 0.000
8 Pt 0.138 0.362 0.000
9 Ti 0.000 0.000 0.000
10 Ti 0.500 0.500 0.000

***

Record 3
Crystalline Ti2MoPt at its relaxed geometry, computed with PBE-GGA.

Results
* space group: I-42d, No. 122
* distance to the lowest polymorph of the same formula: 80.0 kJ per mole of atoms
* formation energy from the elements: 176 meV per atom
* electronic total energy: -7.9896 eV per atom

Lattice parameters (Å, degrees): 3.980 3.980 9.255 77.58 77.58 90.00
Fractional positions:
1 Mo 0.500 0.500 0.000
2 Mo 0.250 0.750 0.500
3 Pt 0.000 0.000 0.000
4 Pt 0.750 0.250 0.500
5 Ti 0.619 0.125 0.250
6 Ti 0.131 0.625 0.250
7 Ti 0.375 0.381 0.750
8 Ti 0.875 0.869 0.750

***

Record 4
Crystalline Ti2MoPt2 at its relaxed geometry, computed with PBE-GGA.

Results
* space group: P4/mbm, No. 127
* distance to the lowest polymorph of the same formula: 1.2 kJ per mole of atoms
* formation energy from the elements: -505 meV per atom
* electronic total energy: -8.2456 eV per atom

Lattice parameters (Å, degrees): 7.344 7.344 3.006 90.00 90.00 90.00
Fractional positions:
1 Mo 0.000 0.000 0.000
2 Mo 0.500 0.500 0.000
3 Pt 0.140 0.640 0.500
4 Pt 0.640 0.860 0.500
5 Pt 0.860 0.360 0.500
6 Pt 0.360 0.140 0.500
7 Ti 0.339 0.839 0.000
8 Ti 0.839 0.661 0.000
9 Ti 0.661 0.161 0.000
10 Ti 0.161 0.339 0.000

***

Record 5
Crystalline Ti4MoPt at its relaxed geometry, computed with PBE-GGA.

Results
* space group: R-3m, No. 166
* formation energy from the elements: -10 meV per atom
* electronic total energy: -8.0855 eV per atom

Lattice parameters (Å, degrees): 4.362 4.364 7.362 72.78 72.77 60.02
Fractional positions:
1 Ti 0.627 0.627 0.119
2 Ti 0.373 0.373 0.881
3 Ti 0.124 0.123 0.630
4 Ti 0.876 0.877 0.370
5 Mo 0.000 0.000 0.000
6 Pt 0.500 0.500 0.500

***

Record 6
Crystalline TiMoPt4 at its relaxed geometry, computed with PBE-GGA.

Results
* space group: P4/mmm, No. 123
* formation energy from the elements: -563 meV per atom
* electronic total energy: -7.7113 eV per atom

Lattice parameters (Å, degrees): 2.795 2.795 11.937 90.03 90.00 90.00
Fractional positions:
1 Ti 0.000 0.000 0.000
2 Mo 0.500 0.500 0.500
3 Pt 0.000 0.000 0.661
4 Pt 0.500 0.500 0.843
5 Pt 0.500 0.500 0.157
6 Pt 0.000 0.000 0.339

***

Record 7
Crystalline Ti2MoPt9 at its relaxed geometry, computed with PBE-GGA.

Results
* space group: P4/mmm, No. 123
* formation energy from the elements: -611 meV per atom
* electronic total energy: -7.3603 eV per atom

Lattice parameters (Å, degrees): 3.958 3.958 11.883 90.00 90.00 90.00
Fractional positions:
1 Ti 0.000 0.000 0.334
2 Ti 0.000 0.000 0.666
3 Mo 0.000 0.000 0.000
4 Pt 0.500 0.500 0.000
5 Pt 0.500 0.500 0.334
6 Pt 0.500 0.500 0.666
7 Pt 0.500 0.000 0.169
8 Pt 0.500 0.000 0.500
9 Pt 0.500 0.000 0.831
10 Pt 0.000 0.500 0.169
11 Pt 0.000 0.500 0.500
12 Pt 0.000 0.500 0.831

***

Record 8
Crystalline Ti6MoPt2 at its relaxed geometry, computed with PBE-GGA.

Results
* space group: Immm, No. 71
* formation energy from the elements: -172 meV per atom
* electronic total energy: -7.9809 eV per atom

Lattice parameters (Å, degrees): 4.354 6.134 7.434 114.36 107.02 90.00
Fractional positions:
1 Ti 0.164 0.413 0.328
2 Ti 0.836 0.084 0.672
3 Ti 0.836 0.587 0.672
4 Ti 0.500 0.248 0.000
5 Ti 0.164 0.916 0.328
6 Ti 0.500 0.752 0.000
7 Mo 0.000 0.000 0.000
8 Pt 0.668 0.668 0.336
9 Pt 0.332 0.332 0.664

***

Record 9
Crystalline TiMo2Pt at its relaxed geometry, computed with PBE-GGA.

Results
* space group: I-42d, No. 122
* distance to the lowest polymorph of the same formula: 28.5 kJ per mole of atoms
* formation energy from the elements: 315 meV per atom
* electronic total energy: -8.5842 eV per atom

Lattice parameters (Å, degrees): 7.302 7.302 5.773 50.77 50.77 90.00
Fractional positions:
1 Mo 0.636 0.125 0.250
2 Mo 0.114 0.625 0.250
3 Mo 0.375 0.364 0.750
4 Mo 0.875 0.886 0.750
5 Pt 0.000 0.000 0.000
6 Pt 0.750 0.250 0.500
7 Ti 0.500 0.500 0.000
8 Ti 0.250 0.750 0.500

***

Record 10
Crystalline Ti2MoPt at its relaxed geometry, computed with PBE-GGA.

Results
* space group: Fm-3m, No. 225
* distance to the lowest polymorph of the same formula: 0.0 kJ per mole of atoms
* formation energy from the elements: -653 meV per atom
* electronic total energy: -8.8183 eV per atom

Lattice parameters (Å, degrees): 4.444 4.444 4.444 60.00 60.00 60.00
Fractional positions:
1 Mo 0.000 0.000 0.000
2 Pt 0.500 0.500 0.500
3 Ti 0.250 0.250 0.250
4 Ti 0.750 0.750 0.750

***

Record 11
Crystalline TiMo2Pt2 at its relaxed geometry, computed with PBE-GGA.

Results
* space group: I4/mmm, No. 139
* formation energy from the elements: -138 meV per atom
* electronic total energy: -8.4660 eV per atom

Lattice parameters (Å, degrees): 3.550 3.550 7.262 75.85 75.85 90.00
Fractional positions:
1 Mo 0.750 0.250 0.500
2 Mo 0.250 0.750 0.500
3 Pt 0.406 0.406 0.188
4 Pt 0.594 0.594 0.812
5 Ti 0.000 0.000 0.000

***

Record 12
Crystalline TiMo2Pt at its relaxed geometry, computed with PBE-GGA.

Results
* space group: Fm-3m, No. 225
* distance to the lowest polymorph of the same formula: 0.0 kJ per mole of atoms
* formation energy from the elements: 20 meV per atom
* electronic total energy: -8.8795 eV per atom

Lattice parameters (Å, degrees): 4.474 4.474 4.474 60.00 60.00 60.00
Fractional positions:
1 Mo 0.250 0.250 0.250
2 Mo 0.750 0.750 0.750
3 Pt 0.500 0.500 0.500
4 Ti 0.000 0.000 0.000